AlZn2 at its PBEsol-relaxed geometry. Source: Alexandria via LeMat-Bulk, functional meta-GGA SCAN.

Crystal system   monoclinic
Calculated formation energy   50 meV/atom
ρ   5.79 g cm⁻³
Volume   90.5 Å³/cell
Final energy   -0.42423 Ha/atom

```
data_AlZn2
_space_group_name_H-M_alt 'P 1'
_space_group_IT_number 1
_space_group_name_Hall 'P 1'
_cell_length_a 2.702
_cell_length_b 5.591
_cell_length_c 6.407
_cell_angle_alpha 105.07
_cell_angle_beta 90.00
_cell_angle_gamma 103.98
loop_
_atom_site_label
_atom_site_fract_x
_atom_site_fract_y
_atom_site_fract_z
Zn1 0.661 0.322 0.326
Zn2 0.615 0.231 0.727
Zn3 0.949 0.898 0.395
Zn4 0.281 0.562 0.066
Al1 0.998 0.997 0.996
Al2 0.329 0.657 0.657
```